VASP calculation (GGA-PBE) on an optimized crystal structure of Ti2HIrRu.

Structure (POSCAR):
```
Ti2HIrRu
1.0
4.205 0.000 0.000
0.000 4.205 0.000
0.000 0.000 3.518
Ru Ir H Ti
1 1 1 2
Direct
0.000 0.000 0.500
0.500 0.500 0.500
0.000 0.000 0.000
0.000 0.500 0.000
0.500 0.000 0.000
```

The excess energy over the best structure of this formula in the dataset is 0.0 meV/atom. Its space group is P4/mmm (123). Its density of states at the Fermi level is 2.96 states/eV per cell. The final energy is -40.25 eV/cell.

***

VASP calculation (GGA-PBE) on an optimized crystal structure of TiHIr2Ru.

Structure (POSCAR):
```
TiHIr2Ru
1.0
3.876 0.000 0.000
0.000 3.876 0.000
0.000 0.000 4.003
Ru Ir H Ti
1 2 1 1
Direct
0.500 0.500 0.500
0.000 0.500 0.000
0.500 0.000 0.000
0.000 0.000 0.000
0.000 0.000 0.500
```

The excess energy over the best structure of this formula in the dataset is 21.9 meV/atom. Its space group is P4/mmm (123). Its density of states at the Fermi level is 3.47 states/eV per cell. The final energy is -40.22 eV/cell.

***

The highest final energy belongs to which entry? TiHIr2Ru

***

Which value of excess energy over the best structure of this formula in the dataset does entry 2 give? 21.9 meV/atom

***

excess energy over the best structure of this formula in the dataset of number 2 (TiHIr2Ru)? 21.9 meV/atom

***

The lowest final energy belongs to which entry? Ti2HIrRu